This record from OQMD via LeMat-Bulk describes crystalline AlFeB at its relaxed geometry. The functional is PBE.

Structure (POSCAR):
```
AlFeB
1.0
-1.057 -0.132 3.393
-3.033 1.578 0.981
-2.817 -1.971 0.910
Al B Fe
1 1 1
direct
0.250 0.250 0.250
0.000 0.000 0.000
0.750 0.750 0.750
```

Computed properties:
**Crystal system**: cubic
**Electronic total energy**: -19.1 eV per formula unit